1.
Computed, not measured: a relaxed YCo2Cl crystal at the PBE-GGA level of DFT.

crystal system: monoclinic
formation energy without anion corrections: -0.09 eV/atom
ΔE to the lowest computed polymorph: 328 meV per atom
symmetry: C2/m (12)
M_tot: 3.3 μB per formula unit

Cell lengths 5.543, 5.543, 4.222 Å; angles 100.80, 100.80, 35.73 degrees
Site moments in Bohr magnetons follow the coordinates.
Fractional coordinates of all 4 atoms:
1 Co 0.974 0.974 0.074  1.71
2 Co 0.526 0.526 0.426  1.71
3 Cl 0.750 0.750 0.750  0.02
4 Y 0.250 0.250 0.250  -0.10



2.
Computed, not measured: a relaxed SiPb8 crystal at the PBE-GGA level of DFT.

crystal system: tetragonal
formation energy without anion corrections: 0.15 eV/atom
symmetry: I4/mmm (139)
M_tot: 0.0 μB per formula unit

Cell lengths 7.968, 7.968, 7.968 Å; angles 94.92, 94.92, 145.94 degrees
Fractional coordinates of all 9 atoms:
1 Pb 0.000 0.670 0.670
2 Pb 0.658 0.342 0.000
3 Si 0.000 0.000 0.000
4 Pb 0.330 0.000 0.330
5 Pb 0.658 0.658 0.316
6 Pb 0.342 0.342 0.684
7 Pb 0.000 0.330 0.330
8 Pb 0.342 0.658 0.000
9 Pb 0.670 0.000 0.670



3.
Computed, not measured: a relaxed Hf7Sn2Hg2 crystal at the PBE-GGA level of DFT.

crystal system: monoclinic
symmetry: C2/m (12)
formation enthalpy at 0 K: 0.106 eV/atom
M_tot: 0.0 μB per formula unit

Cell lengths 6.038, 6.720, 6.720 Å; angles 100.33, 102.77, 102.77 degrees
Fractional coordinates of all 11 atoms:
1 Hg 0.571 0.361 0.361
2 Hf 0.500 0.000 0.000
3 Hf 0.994 0.696 0.696
4 Sn 0.000 0.854 0.146
5 Hf 0.708 0.429 0.928
6 Hf 0.292 0.571 0.072
7 Hg 0.429 0.639 0.639
8 Sn 0.000 0.146 0.854
9 Hf 0.006 0.304 0.304
10 Hf 0.292 0.072 0.571
11 Hf 0.708 0.928 0.429



no.,volume (Å³/cell)
1,74.28
2,270.87
3,251.74